Below is NaNdHgSe3 after structural relaxation, with properties calculated at the PBE level.

Its spin magnetization is 0.003 μB per cell. The value obtained for the calculated volume is 673 Å³ per cell. The distance to the lowest polymorph of the same formula comes out at 1 meV per atom.

The space group is Pnma (No. 62) and the conventional cell measures 12.670, 4.276 and 12.426 Å, with angles of 90.00, 90.00 and 90.00 degrees. The distinct sites, in fractional coordinates, are Na at (0.138, 0.250, 0.004), Nd at (0.046, 0.250, 0.676), Hg at (0.239, 0.250, 0.294), Se at (0.056, 0.750, 0.848), Se at (0.080, 0.250, 0.428) and Se at (0.224, 0.750, 0.155).